[1]
This record from Alexandria describes TlCdSiC2 after structural relaxation. The functional is PBE.

abc: 4.3778 4.3778 5.8272
angles: 90.00 90.00 90.00
Space group P4/mmm (No. 123)
Inequivalent atoms, fractional coordinates:
Tl: 0.0000 0.0000 0.0000
Cd: 0.0000 0.0000 0.5000
Si: 0.5000 0.5000 0.5000
C: 0.0000 0.5000 0.0000

Output
total magnetization	1.663	μB/cell
ΔE_f (raw)	2.730	eV/atom
total energy	-2.7008	eV per atom
crystal system	tetragonal

=====

[2]
This record from Alexandria describes ZrCdSi2C after structural relaxation. The functional is PBE.

abc: 4.6476 4.6476 5.5480
angles: 90.00 90.00 90.00
Space group P4/mmm (No. 123)
Inequivalent atoms, fractional coordinates:
Zr: 0.0000 0.0000 0.0000
Cd: 0.0000 0.0000 0.5000
Si: 0.0000 0.5000 0.5000
C: 0.5000 0.5000 0.0000

Output
total magnetization	0.080	μB/cell
ΔE_f (raw)	2.335	eV/atom
total energy	-3.5720	eV per atom
crystal system	tetragonal

=====

[3]
This record from Alexandria describes Sm2CdC2 after structural relaxation. The functional is PBE.

abc: 16.0823 4.0464 6.9308
angles: 90.00 114.25 90.00
Space group C2/c (No. 15)
Inequivalent atoms, fractional coordinates:
Sm: 0.1540 0.1645 0.1000
Cd: 0.0000 0.4093 0.2500
C: 0.2240 0.3695 0.5157

Output
total magnetization	0.000	μB/cell
total energy	-6.0205	eV per atom
crystal system	monoclinic
energy relative to the elements	-260.3	meV per atom

=====

[4]
This record from Alexandria describes Sm4CdC after structural relaxation. The functional is PBE.

abc: 8.6201 14.2256 6.2754
angles: 90.00 117.54 90.00
Space group C2/c (No. 15)
Inequivalent atoms, fractional coordinates:
Sm: 0.1341 0.2013 0.1368
Sm: 0.2076 0.0489 0.6811
Cd: 0.0000 0.3861 0.7500
C: 0.0000 0.0724 0.2500

Output
total magnetization	0.000	μB/cell
total energy	-4.9086	eV per atom
crystal system	monoclinic
energy relative to the elements	-72.7	meV per atom

=====

[5]
This record from Alexandria describes Sm3CdC after structural relaxation. The functional is PBE.

abc: 10.5646 14.7925 6.4949
angles: 90.00 90.00 90.00
Space group Cmce (No. 64)
Inequivalent atoms, fractional coordinates:
Sm: 0.0000 0.0444 0.2503
Sm: 0.0000 0.2498 0.9997
Sm: 0.2500 0.1079 0.7500
Cd: 0.2500 0.1647 0.2500
C: 0.0000 0.1169 0.7492

Output
total magnetization	0.000	μB/cell
total energy	-4.9358	eV per atom
crystal system	orthorhombic
energy relative to the elements	-76.5	meV per atom

=====

[6]
This record from Alexandria describes Sm3CdC after structural relaxation. The functional is PBE.

abc: 5.0578 5.0578 5.0578
angles: 90.00 90.00 90.00
Space group Pm-3m (No. 221)
Inequivalent atoms, fractional coordinates:
Sm: 0.0000 0.0000 0.5000
Cd: 0.5000 0.5000 0.5000
C: 0.0000 0.0000 0.0000

Output
total magnetization	0.002	μB/cell
total energy	-5.0601	eV per atom
crystal system	cubic
energy relative to the elements	-200.8	meV per atom

=====

[7]
This record from Alexandria describes Sm2CdC after structural relaxation. The functional is PBE.

abc: 3.6111 3.6111 28.4763
angles: 90.00 90.00 120.00
Space group R-3m (No. 166, hexagonal axes)
Inequivalent atoms, fractional coordinates:
Sm: 0.0000 0.0000 0.1182
Cd: 0.0000 0.0000 0.0000
C: 0.0000 0.0000 0.5000

Output
total magnetization	0.000	μB/cell
total energy	-4.9485	eV per atom
crystal system	trigonal
energy relative to the elements	-54.2	meV per atom

=====

[8]
This record from Alexandria describes Sm2CdC after structural relaxation. The functional is PBE.

abc: 5.2086 10.2212 7.6925
angles: 90.00 90.00 90.00
Space group Ima2 (No. 46)
Inequivalent atoms, fractional coordinates:
Sm: 0.2500 0.1088 0.0000
Sm: 0.2500 0.6949 0.1858
Cd: 0.2500 0.0751 0.4304
C: 0.2500 0.6237 0.4807

Output
total magnetization	0.000	μB/cell
total energy	-4.9233	eV per atom
crystal system	orthorhombic
energy relative to the elements	-29.0	meV per atom

=====

Number 7 is which compound?
Sm2CdC

=====

Which value of total magnetization does entry 6 give?
0.002 μB/cell

=====

Look up the total magnetization of the sixth one.
0.002 μB/cell

=====

Number 1 is which compound?
TlCdSiC2